1.
The following is a DFT calculation (GGA-PBE) of crystalline BeCu2Tc at its relaxed geometry.

The value obtained for the density of states at the Fermi level is 0.3458 states/eV per atom. As for the density: 8.064 Mg/m³. The energy of formation comes out at 0.1406 eV/atom. The value obtained for the energy is -43.44 eV/cell.

The space group is C2/m (No. 12) and the conventional cell measures 4.876, 8.667 and 2.442 Å, with angles of 90.00, 110.88 and 90.00 degrees. The distinct sites, in fractional coordinates, are Be at (0.000, 0.000, 0.000), Cu at (0.250, 0.250, 0.500) and Tc at (0.000, 0.500, 0.000).


2.
The following is a DFT calculation (GGA-PBE) of crystalline LaNdSi at its relaxed geometry.

The value obtained for the density of states at the Fermi level is 0.9737 states/eV per atom. As for the density: 6.474 Mg/m³. The value obtained for the formation energy (no corrections) is -107 kJ/mol of formula units. The value obtained for the energy is -32.46 eV/cell. The distance to the lowest polymorph of the same formula comes out at 145.4 meV per atom.

The space group is I4mm (No. 107) and the conventional cell measures 4.021, 4.021 and 9.874 Å, with angles of 90.00, 90.00 and 90.00 degrees. The distinct sites, in fractional coordinates, are La at (0.000, 0.000, 0.000), Nd at (0.000, 0.000, 0.703) and Si at (0.000, 0.000, 0.345).


3.
The following is a DFT calculation (GGA-PBE) of crystalline CaRu2Au at its relaxed geometry.

The value obtained for the density of states at the Fermi level is 1.3277 states/eV per atom. As for the density: 10.200 Mg/m³. The energy of formation comes out at 0.3442 eV/atom. The value obtained for the energy is -44.91 eV/cell. The distance to the lowest polymorph of the same formula comes out at 245.3 meV per atom.

The space group is Immm (No. 71) and the conventional cell measures 3.028, 4.655 and 10.146 Å, with angles of 90.00, 90.00 and 90.00 degrees. The distinct sites, in fractional coordinates, are Ca at (0.000, 0.000, 0.000), Ru at (0.000, 0.500, 0.226) and Au at (0.000, 0.000, 0.500).


4.
The following is a DFT calculation (GGA-PBE) of crystalline TcBi2H at its relaxed geometry.

The value obtained for the density of states at the Fermi level is 0.3274 states/eV per atom. As for the density: 11.127 Mg/m³. The value obtained for the energy is -73.88 eV/cell. The distance to the lowest polymorph of the same formula comes out at 0.0 meV per atom.

The space group is I-42d (No. 122) and the conventional cell measures 6.600, 6.600 and 7.086 Å, with angles of 90.00, 90.00 and 90.00 degrees. The distinct sites, in fractional coordinates, are Tc at (0.000, 0.000, 0.000), Bi at (0.187, 0.250, 0.625) and H at (0.000, 0.000, 0.500).


5.
The following is a DFT calculation (GGA-PBE) of crystalline KLiTc at its relaxed geometry.

The value obtained for the density of states at the Fermi level is 1.0124 states/eV per atom. As for the density: 3.597 Mg/m³. The energy of formation comes out at 1.1052 eV/atom. The value obtained for the energy is -10.06 eV/cell. The distance to the lowest polymorph of the same formula comes out at 245.3 meV per atom.

The space group is P3m1 (No. 156) and the conventional cell measures 5.4138, 5.4138 and 2.6196 Å, with angles of 90.00, 90.00 and 120.00 degrees. The distinct sites, in fractional coordinates, are K at (0.0000, 0.0000, 0.0000), Li at (0.6667, 0.3333, 0.0051) and Tc at (0.3333, 0.6667, 0.5005).


6.
The following is a DFT calculation (GGA-PBE) of crystalline Rb3Mg2Cd8 at its relaxed geometry.

The value obtained for the density of states at the Fermi level is 0.4579 states/eV per atom. As for the density: 4.689 Mg/m³. The energy of formation comes out at -0.0119 eV/atom. The value obtained for the energy is -13.57 eV/cell.

The space group is P-1 (No. 2) and the conventional cell measures 6.779, 8.054 and 9.610 Å, with angles of 113.78, 90.09 and 114.81 degrees. The distinct sites, in fractional coordinates, are Rb at (0.000, 0.000, 0.000), Rb at (0.458, 0.914, 0.688), Mg at (0.073, 0.143, 0.670), Cd at (0.044, 0.527, 0.272), Cd at (0.157, 0.318, 0.441), Cd at (0.261, 0.517, 0.989) and Cd at (0.482, 0.527, 0.275).


7.
The following is a DFT calculation (GGA-PBE) of crystalline Ca3AcTl2 at its relaxed geometry.

The value obtained for the density of states at the Fermi level is 0.9160 states/eV per atom. As for the density: 6.081 Mg/m³. The energy of formation comes out at -0.3367 eV/atom. The value obtained for the energy is -33.73 eV/cell. The distance to the lowest polymorph of the same formula comes out at 0.0 meV per atom.

The space group is Pmc2_1 (No. 26) and the conventional cell measures 5.317, 9.989 and 7.775 Å, with angles of 90.00, 90.00 and 90.00 degrees. The distinct sites, in fractional coordinates, are Ca at (0.000, 0.066, 0.000), Ca at (0.000, 0.306, 0.368), Ca at (0.500, 0.175, 0.686), Ac at (0.500, 0.443, 0.055), Tl at (0.000, 0.364, 0.787) and Tl at (0.500, 0.136, 0.265).


8.
The following is a DFT calculation (GGA-PBE) of crystalline KAcGe3 at its relaxed geometry.

The value obtained for the density of states at the Fermi level is 0.6181 states/eV per atom. As for the density: 5.488 Mg/m³. The energy of formation comes out at -0.3187 eV/atom. The value obtained for the energy is -82.61 eV/cell.

The space group is Cmcm (No. 63) and the conventional cell measures 5.081, 27.116 and 4.252 Å, with angles of 90.00, 90.00 and 90.00 degrees. The distinct sites, in fractional coordinates, are K at (0.000, 0.071, 0.250), Ac at (0.000, 0.199, 0.750), Ge at (0.000, 0.318, 0.750), Ge at (0.000, 0.378, 0.250) and Ge at (0.000, 0.475, 0.250).


9.
The following is a DFT calculation (GGA-PBE) of crystalline SrZn2Fe at its relaxed geometry.

The value obtained for the density of states at the Fermi level is 1.2634 states/eV per atom. As for the density: 5.921 Mg/m³. The energy of formation comes out at 0.5136 eV/atom. The value obtained for the energy is -42.55 eV/cell.

The space group is Fm-3m (No. 225) and the conventional cell measures 6.751, 6.751 and 6.751 Å, with angles of 90.00, 90.00 and 90.00 degrees. The distinct sites, in fractional coordinates, are Sr at (0.000, 0.000, 0.000), Zn at (0.250, 0.250, 0.250) and Fe at (0.000, 0.000, 0.500).


10.
The following is a DFT calculation (GGA-PBE) of crystalline Sb3AsP at its relaxed geometry.

The value obtained for the density of states at the Fermi level is 1.0740 states/eV per atom. As for the density: 5.186 Mg/m³. The value obtained for the formation energy (no corrections) is 504 kJ/mol of formula units. The value obtained for the energy is -17.20 eV/cell. The distance to the lowest polymorph of the same formula comes out at 307.0 meV per atom.

The space group is Pm-3m (No. 221) and the conventional cell measures 5.324, 5.324 and 5.324 Å, with angles of 90.00, 90.00 and 90.00 degrees. The distinct sites, in fractional coordinates, are Sb at (0.000, 0.000, 0.500), As at (0.000, 0.000, 0.000) and P at (0.500, 0.500, 0.500).


11.
The following is a DFT calculation (GGA-PBE) of crystalline CdP3 at its relaxed geometry.

The value obtained for the density of states at the Fermi level is 0.0089 states/eV per atom. As for the density: 3.941 Mg/m³. The energy of formation comes out at -0.0323 eV/atom. The value obtained for the energy is -34.55 eV/cell. The distance to the lowest polymorph of the same formula comes out at 0.0 meV per atom.

The space group is Pmmn (No. 59, origin choice 2) and the conventional cell measures 4.302, 7.512 and 5.355 Å, with angles of 90.00, 90.00 and 90.00 degrees. The distinct sites, in fractional coordinates, are Cd at (0.250, 0.250, 0.074), P at (0.250, 0.501, 0.413) and P at (0.250, 0.750, 0.194).


12.
The following is a DFT calculation (GGA-PBE) of crystalline Pm2ErAg at its relaxed geometry.

The value obtained for the density of states at the Fermi level is 1.1872 states/eV per atom. As for the density: 7.814 Mg/m³. The energy of formation comes out at 0.0012 eV/atom. The value obtained for the energy is -50.73 eV/cell. The distance to the lowest polymorph of the same formula comes out at 124.5 meV per atom.

The space group is R3m (No. 160, hexagonal axes) and the conventional cell measures 3.6230, 3.6230 and 31.6940 Å, with angles of 90.00, 90.00 and 120.00 degrees. The distinct sites, in fractional coordinates, are Pm at (0.0000, 0.0000, 0.0000), Pm at (0.0000, 0.0000, 0.1807), Er at (0.0000, 0.0000, 0.4233) and Ag at (0.0000, 0.0000, 0.5910).